Material: NpInSb
Method: DFT, PBE-GGA
State: relaxed

Geometry as extended XYZ:
```
3
Lattice="-1.884 1.884 5.513 1.884 -1.884 5.513 1.884 1.884 -5.513" Properties=species:S:1:pos:R:3 pbc="T T T"
Np 0.000 0.000 0.000
In 0.000 0.000 7.558
Sb 0.000 0.000 3.617
```

Values from the calculation:
- Calculated total energy: -6.552 eV per atom
- Formation energy (no corrections): 0.048 eV per atom
- Total moment: 5.0 μB/f.u.
- Space group: I4mm (107)